(1)
BaLiSeBr2: optimized geometry, GGA-PBEsol.

Computed properties:
DOS(E_F): 1.400 states/eV per atom
ΔE_f (raw): -0.929 eV/atom
Uncorrected energy: -3.27 eV per atom

a b c (Å): 6.177 6.177 6.139
angles (deg): 90.00 90.00 90.00
Positions (direct):
Ba1 0.000 0.000 0.000
Li1 0.500 0.500 0.500
Se1 0.000 0.000 0.500
Br1 0.000 0.500 0.000
Br2 0.500 0.000 0.000

(2)
Ba2LiTeBr: optimized geometry, GGA-PBEsol.

Computed properties:
DOS(E_F): 0.629 states/eV per atom
ΔE_f (raw): -1.018 eV/atom
Uncorrected energy: -3.35 eV per atom

a b c (Å): 6.180 6.180 4.572
angles (deg): 90.00 90.00 90.00
Positions (direct):
Ba1 0.000 0.500 0.000
Ba2 0.500 0.000 0.000
Li1 0.000 0.000 0.500
Te1 0.500 0.500 0.500
Br1 0.000 0.000 0.000

(3)
BaMgBr2: optimized geometry, GGA-PBEsol.

Computed properties:
Relative energy among the computed polymorphs: 0.000 eV/atom
ΔE_f (raw): -1.247 eV/atom
Uncorrected energy: -3.15 eV per atom

a b c (Å): 5.609 5.609 5.609
angles (deg): 119.87 119.87 90.22
Positions (direct):
Ba1 0.000 0.000 0.000
Mg1 0.500 0.500 0.000
Br1 0.250 0.750 0.500
Br2 0.750 0.250 0.500

(4)
BaMgBr2: optimized geometry, GGA-PBEsol.

Computed properties:
Relative energy among the computed polymorphs: 0.116 eV/atom
ΔE_f (raw): -1.131 eV/atom
Uncorrected energy: -3.03 eV per atom

a b c (Å): 7.393 7.393 7.393
angles (deg): 105.92 105.92 116.83
Positions (direct):
Ba1 0.000 0.000 0.000
Ba2 0.750 0.250 0.500
Mg1 0.250 0.750 0.500
Mg2 0.500 0.500 0.000
Br1 0.100 0.625 0.975
Br2 0.375 0.350 0.475
Br3 0.650 0.125 0.025
Br4 0.875 0.900 0.525